Record 1
Compound: B7H10
Source: Alexandria
Functional: SCAN
Structure: single point on PBEsol structure

Geometry as CIF:
```
data_B7H10
_cell_length_a 8.8094
_cell_length_b 9.8253
_cell_length_c 12.6840
_cell_angle_alpha 90.00
_cell_angle_beta 90.00
_cell_angle_gamma 90.00
_symmetry_space_group_name_H-M 'P 1'
_symmetry_Int_Tables_number 1
_symmetry_space_group_name_Hall 'P 1'
loop_
_atom_site_label
_atom_site_fract_x
_atom_site_fract_y
_atom_site_fract_z
B1 0.2307 0.9874 0.2522
B2 0.3074 0.8397 0.1967
B3 0.2158 0.2598 0.0958
B4 0.3031 0.8301 0.0590
B5 0.8791 0.6701 0.5027
B6 0.1209 0.1701 0.9973
B7 0.0542 0.5013 0.8834
B8 0.8031 0.6699 0.9410
B9 0.2693 0.0126 0.7522
B10 0.9655 0.5804 0.9898
B11 0.9808 0.6629 0.8697
B12 0.7693 0.4874 0.2478
B13 0.4590 0.9776 0.5563
B14 0.4808 0.8371 0.1303
B15 0.8644 0.3882 0.3596
B16 0.4416 0.9641 0.2305
B17 0.9600 0.6876 0.3800
B18 0.9397 0.5375 0.3066
B19 0.5410 0.4776 0.9437
B20 0.7842 0.7598 0.4042
B21 0.7158 0.2402 0.9042
B22 0.9590 0.5224 0.4437
B23 0.4655 0.9196 0.0102
B24 0.1895 0.1698 0.2171
B25 0.3105 0.8302 0.7171
B26 0.4397 0.9625 0.6934
B27 0.9416 0.5359 0.7695
B28 0.3791 0.8299 0.4973
B29 0.6209 0.3299 0.0027
B30 0.5584 0.4641 0.2695
B31 0.6895 0.3302 0.7829
B32 0.0584 0.0359 0.7305
B33 0.8105 0.6698 0.2829
B34 0.3644 0.1118 0.6404
B35 0.0345 0.0804 0.5102
B36 0.4600 0.8124 0.6200
B37 0.9458 0.0013 0.6166
B38 0.5603 0.4625 0.8066
B39 0.0192 0.1629 0.6303
B40 0.1356 0.8882 0.1404
B41 0.7307 0.5126 0.7478
B42 0.5345 0.4196 0.4898
B43 0.5192 0.3371 0.3697
B44 0.5400 0.3124 0.8800
B45 0.0603 0.0375 0.1934
B46 0.6926 0.3397 0.3033
B47 0.8074 0.6603 0.8033
B48 0.1926 0.1603 0.6967
B49 0.0410 0.0224 0.0563
B50 0.0400 0.1876 0.1200
B51 0.1969 0.1699 0.5590
B52 0.6356 0.6118 0.8596
B53 0.2842 0.7402 0.5958
B54 0.4458 0.4987 0.3834
B55 0.6969 0.3301 0.4410
B56 0.5542 0.9987 0.1166
H1 0.0625 0.7590 0.8584
H2 0.8161 0.9654 0.6170
H3 0.8538 0.5377 0.5176
H4 0.5475 0.9820 0.7496
H5 0.4738 0.3968 0.5721
H6 0.0677 0.4779 0.4889
H7 0.5253 0.5790 0.3187
H8 0.0253 0.9210 0.6813
H9 0.7514 0.1231 0.9104
H10 0.6967 0.2562 0.7081
H11 0.4747 0.0790 0.1813
H12 0.5707 0.7435 0.6335
H13 0.5677 0.0221 0.5111
H14 0.9522 0.2972 0.3431
H15 0.0827 0.2184 0.9149
H16 0.2514 0.3769 0.0896
H17 0.8033 0.7438 0.2081
H18 0.7709 0.7652 0.9955
H19 0.7017 0.5357 0.6562
H20 0.4525 0.4820 0.7504
H21 0.2698 0.1996 0.0076
H22 0.6462 0.4623 0.0176
H23 0.4173 0.7816 0.4149
H24 0.9525 0.0181 0.2496
H25 0.7291 0.2348 0.4955
H26 0.3161 0.5346 0.3830
H27 0.9879 0.0308 0.8113
H28 0.9747 0.4210 0.8187
H29 0.2486 0.6231 0.5896
H30 0.9375 0.2590 0.6416
H31 0.0121 0.5308 0.6887
H32 0.3171 0.9364 0.9951
H33 0.0707 0.7565 0.3665
H34 0.1829 0.0636 0.4951
H35 0.4893 0.0529 0.0299
H36 0.0262 0.6032 0.0721
H37 0.7983 0.4643 0.1562
H38 0.4375 0.2410 0.3584
H39 0.0107 0.9471 0.5299
H40 0.4522 0.2028 0.6569
H41 0.1883 0.8067 0.6582
H42 0.7698 0.3004 0.9924
H43 0.8117 0.3067 0.8418
H44 0.9738 0.1032 0.4279
H45 0.4293 0.2435 0.8665
H46 0.5262 0.8968 0.9279
H47 0.5107 0.5529 0.4701
H48 0.9173 0.7184 0.5851
H49 0.2302 0.8004 0.5076
H50 0.2083 0.2590 0.7519
H51 0.7083 0.2410 0.2481
H52 0.5625 0.7410 0.1416
H53 0.0478 0.7972 0.1569
H54 0.9323 0.9779 0.0111
H55 0.9893 0.4471 0.9701
H56 0.7917 0.7590 0.7481
H57 0.9293 0.2565 0.1335
H58 0.1462 0.0377 0.9824
H59 0.5121 0.9692 0.3113
H60 0.1839 0.4654 0.8830
H61 0.4323 0.5221 0.9889
H62 0.2917 0.7410 0.2519
H63 0.6829 0.4364 0.5049
H64 0.2017 0.9643 0.3438
H65 0.5827 0.2816 0.0851
H66 0.3538 0.9623 0.4824
H67 0.3117 0.1933 0.1582
H68 0.1967 0.2438 0.2919
H69 0.7486 0.8769 0.4104
H70 0.8171 0.5636 0.0049
H71 0.6839 0.0346 0.1170
H72 0.0475 0.5181 0.2504
H73 0.2291 0.2652 0.5045
H74 0.4879 0.4692 0.1887
H75 0.6883 0.6933 0.3418
H76 0.2709 0.7348 0.0045
H77 0.7302 0.6996 0.4924
H78 0.5478 0.7028 0.8431
H79 0.3033 0.7562 0.7919
H80 0.2983 0.0357 0.8438
```



Record 2
# KMo5O13 SCAN single point on PBEsol structure
# Formation energy from raw total energies: -2099 meV/atom
data_KMo5O13
_cell_length_a 5.5345
_cell_length_b 5.5345
_cell_length_c 16.6769
_cell_angle_alpha 90.00
_cell_angle_beta 90.00
_cell_angle_gamma 106.77
_symmetry_space_group_name_H-M 'P 1'
_symmetry_Int_Tables_number 1
_symmetry_space_group_name_Hall 'P 1'
loop_
_atom_site_label
_atom_site_fract_x
_atom_site_fract_y
_atom_site_fract_z
Mo1 0.3858 0.6142 0.9250
Mo2 0.0000 0.0000 0.5000
Mo3 0.0000 0.0000 0.0000
Mo4 0.6142 0.3858 0.0750
Mo5 0.3858 0.6142 0.5750
Mo6 0.2275 0.7725 0.3615
Mo7 0.6142 0.3858 0.4250
Mo8 0.7725 0.2275 0.6385
Mo9 0.2275 0.7725 0.1385
Mo10 0.7725 0.2275 0.8615
O1 0.6934 0.6934 0.0000
O2 0.4359 0.5641 0.1365
O3 0.2209 0.7791 0.0106
O4 0.4944 0.0839 0.1280
O5 0.0073 0.9927 0.3891
O6 0.9161 0.5056 0.3720
O7 0.0839 0.4944 0.8720
O8 0.7904 0.2096 0.7500
O9 0.3066 0.3066 0.5000
O10 0.0839 0.4944 0.6280
O11 0.9927 0.0073 0.6109
O12 0.0073 0.9927 0.1109
O13 0.4359 0.5641 0.3635
O14 0.2209 0.7791 0.4894
O15 0.9161 0.5056 0.1280
O16 0.5056 0.9161 0.6280
O17 0.6934 0.6934 0.5000
O18 0.5056 0.9161 0.8720
O19 0.5641 0.4359 0.8635
O20 0.5641 0.4359 0.6365
O21 0.9927 0.0073 0.8891
O22 0.3066 0.3066 0.0000
O23 0.4944 0.0839 0.3720
O24 0.7791 0.2209 0.9894
O25 0.7791 0.2209 0.5106
O26 0.2096 0.7904 0.2500
K1 0.1432 0.8568 0.7500
K2 0.8568 0.1432 0.2500



Record 3
# SrTl2Cl SCAN single point on PBEsol structure
# Formation energy from raw total energies: -790 meV/atom
# Energy above the lowest structure with this stoichiometry: 0.190 eV/atom
data_SrTl2Cl
_cell_length_a 5.0728
_cell_length_b 5.5650
_cell_length_c 5.0728
_cell_angle_alpha 62.89
_cell_angle_beta 90.00
_cell_angle_gamma 117.11
_symmetry_space_group_name_H-M 'P 1'
_symmetry_Int_Tables_number 1
_symmetry_space_group_name_Hall 'P 1'
loop_
_atom_site_label
_atom_site_fract_x
_atom_site_fract_y
_atom_site_fract_z
Sr1 0.7500 0.5000 0.7500
Tl1 0.2500 0.5000 0.2500
Tl2 0.0000 0.0000 0.0000
Cl1 0.5000 0.0000 0.5000



Record 4
# In2SiAg2S6 SCAN single point on PBEsol structure
# Formation energy from raw total energies: -596 meV/atom
data_In2SiAg2S6
_cell_length_a 7.0013
_cell_length_b 7.0013
_cell_length_c 12.0430
_cell_angle_alpha 73.05
_cell_angle_beta 73.05
_cell_angle_gamma 60.47
_symmetry_space_group_name_H-M 'P 1'
_symmetry_Int_Tables_number 1
_symmetry_space_group_name_Hall 'P 1'
loop_
_atom_site_label
_atom_site_fract_x
_atom_site_fract_y
_atom_site_fract_z
In1 0.6812 0.4789 0.5696
In2 0.6963 0.8269 0.2676
In3 0.4789 0.6812 0.0696
In4 0.8269 0.6963 0.7676
S1 0.3447 0.8322 0.2547
S2 0.8851 0.4012 0.0576
S3 0.6363 0.1685 0.3239
S4 0.9076 0.8983 0.5638
S5 0.4729 0.9464 0.8800
S6 0.1685 0.6363 0.8239
S7 0.9464 0.4729 0.3800
S8 0.8322 0.3447 0.7547
S9 0.3948 0.3532 0.5900
S10 0.4012 0.8851 0.5576
S11 0.8983 0.9076 0.0638
S12 0.3532 0.3948 0.0900
Ag1 0.1868 0.6100 0.4226
Ag2 0.1967 0.0054 0.7621
Ag3 0.6100 0.1868 0.9226
Ag4 0.0054 0.1967 0.2621
Si1 0.5932 0.0635 0.5098
Si2 0.0635 0.5932 0.0098



Record 5
# BaGa2O4 SCAN single point on PBEsol structure
# Formation energy from raw total energies: -2424 meV/atom
data_BaGa2O4
_cell_length_a 8.7914
_cell_length_b 10.7151
_cell_length_c 10.7151
_cell_angle_alpha 120.00
_cell_angle_beta 90.00
_cell_angle_gamma 90.00
_symmetry_space_group_name_H-M 'P 1'
_symmetry_Int_Tables_number 1
_symmetry_space_group_name_Hall 'P 1'
loop_
_atom_site_label
_atom_site_fract_x
_atom_site_fract_y
_atom_site_fract_z
O1 0.4948 0.8272 0.3226
O2 0.0319 0.5025 0.3343
O3 0.7791 0.2272 0.9275
O4 0.7791 0.0725 0.2997
O5 0.5319 0.3343 0.8318
O6 0.0869 0.6816 0.6835
O7 0.2791 0.7728 0.0725
O8 0.4889 0.0076 0.1731
O9 0.5869 0.6835 0.0019
O10 0.4948 0.6774 0.5045
O11 0.9948 0.5045 0.8272
O12 0.9948 0.1728 0.6774
O13 0.7649 0.6667 0.3333
O14 0.5869 0.9981 0.6816
O15 0.5319 0.1682 0.5025
O16 0.5869 0.3184 0.3165
O17 0.9889 0.8345 0.0076
O18 0.0319 0.6657 0.1682
O19 0.5319 0.4975 0.6657
O20 0.7791 0.7003 0.7728
O21 0.9889 0.1731 0.1655
O22 0.4948 0.4955 0.1728
O23 0.0319 0.8318 0.4975
O24 0.9948 0.3226 0.4955
O25 0.0869 0.3165 0.9981
O26 0.9889 0.9924 0.8269
O27 0.4889 0.8269 0.8345
O28 0.2791 0.2997 0.2272
O29 0.0869 0.0019 0.3184
O30 0.2649 0.3333 0.6667
O31 0.2791 0.9275 0.7003
O32 0.4889 0.1655 0.9924
Ga1 0.4789 0.3333 0.6667
Ga2 0.4716 0.8502 0.6766
Ga3 0.5869 0.1528 0.3293
Ga4 0.0520 0.3333 0.6667
Ga5 0.9716 0.1498 0.3234
Ga6 0.5869 0.1765 0.8472
Ga7 0.9789 0.6667 0.3333
Ga8 0.9716 0.6766 0.8263
Ga9 0.9716 0.1737 0.8502
Ga10 0.0869 0.8472 0.6707
Ga11 0.0869 0.8235 0.1528
Ga12 0.5520 0.6667 0.3333
Ga13 0.4716 0.8263 0.1498
Ga14 0.5869 0.6707 0.8235
Ga15 0.0869 0.3293 0.1765
Ga16 0.4716 0.3234 0.1737
Ba1 0.7576 0.0000 0.0000
Ba2 0.7789 0.9795 0.4863
Ba3 0.7789 0.5068 0.0205
Ba4 0.2576 0.0000 0.0000
Ba5 0.7789 0.5137 0.4932
Ba6 0.2789 0.4932 0.9795
Ba7 0.2789 0.4863 0.5068
Ba8 0.2789 0.0205 0.5137



Record 6
# Mn3CuF SCAN single point on PBEsol structure
# Formation energy from raw total energies: 144 meV/atom
data_Mn3CuF
_cell_length_a 4.5530
_cell_length_b 4.5530
_cell_length_c 4.5530
_cell_angle_alpha 90.00
_cell_angle_beta 90.00
_cell_angle_gamma 90.00
_symmetry_space_group_name_H-M 'P 1'
_symmetry_Int_Tables_number 1
_symmetry_space_group_name_Hall 'P 1'
loop_
_atom_site_label
_atom_site_fract_x
_atom_site_fract_y
_atom_site_fract_z
Cu1 0.0000 0.0000 0.0000
Mn1 0.0000 0.0000 0.5000
Mn2 0.5000 0.0000 0.0000
Mn3 0.0000 0.5000 0.0000
F1 0.5000 0.5000 0.5000



Record 7
Compound: BaHRh2I
Source: Alexandria
Functional: SCAN
Structure: single point on PBEsol structure

Geometry as CIF:
```
data_BaHRh2I
_cell_length_a 4.0343
_cell_length_b 5.1844
_cell_length_c 5.1844
_cell_angle_alpha 90.00
_cell_angle_beta 90.00
_cell_angle_gamma 90.00
_symmetry_space_group_name_H-M 'P 1'
_symmetry_Int_Tables_number 1
_symmetry_space_group_name_Hall 'P 1'
loop_
_atom_site_label
_atom_site_fract_x
_atom_site_fract_y
_atom_site_fract_z
Ba1 0.0000 0.0000 0.0000
Rh1 0.0000 0.0000 0.5000
Rh2 0.0000 0.5000 0.0000
H1 0.5000 0.0000 0.0000
I1 0.5000 0.5000 0.5000
```



Record 8
# CaRe2Se SCAN single point on PBEsol structure
# Formation energy from raw total energies: 899 meV/atom
data_CaRe2Se
_cell_length_a 2.9036
_cell_length_b 4.6154
_cell_length_c 5.2686
_cell_angle_alpha 90.00
_cell_angle_beta 90.00
_cell_angle_gamma 90.00
_symmetry_space_group_name_H-M 'P 1'
_symmetry_Int_Tables_number 1
_symmetry_space_group_name_Hall 'P 1'
loop_
_atom_site_label
_atom_site_fract_x
_atom_site_fract_y
_atom_site_fract_z
Re1 0.0000 0.0000 0.7750
Re2 0.0000 0.0000 0.2250
Se1 0.5000 0.5000 0.0000
Ca1 0.5000 0.5000 0.5000



Record 9
# MgZrSc2 SCAN single point on PBEsol structure
# Formation energy: -0.041 eV/atom
data_MgZrSc2
_cell_length_a 3.2247
_cell_length_b 3.2247
_cell_length_c 8.7912
_cell_angle_alpha 90.00
_cell_angle_beta 90.00
_cell_angle_gamma 90.00
_symmetry_space_group_name_H-M 'P 1'
_symmetry_Int_Tables_number 1
_symmetry_space_group_name_Hall 'P 1'
loop_
_atom_site_label
_atom_site_fract_x
_atom_site_fract_y
_atom_site_fract_z
Mg1 0.5000 0.5000 0.5000
Sc1 0.0000 0.0000 0.7562
Sc2 0.0000 0.0000 0.2438
Zr1 0.5000 0.5000 0.0000



Record 10
# HgBr2 SCAN single point on PBEsol structure
# Formation energy from raw total energies: -454 meV/atom
data_HgBr2
_cell_length_a 4.0669
_cell_length_b 4.0669
_cell_length_c 12.4949
_cell_angle_alpha 90.00
_cell_angle_beta 90.00
_cell_angle_gamma 113.70
_symmetry_space_group_name_H-M 'P 1'
_symmetry_Int_Tables_number 1
_symmetry_space_group_name_Hall 'P 1'
loop_
_atom_site_label
_atom_site_fract_x
_atom_site_fract_y
_atom_site_fract_z
Br1 0.9399 0.0601 0.6288
Br2 0.6264 0.3736 0.8713
Br3 0.0602 0.9398 0.1287
Br4 0.3736 0.6264 0.3714
Hg1 0.3434 0.6566 0.0000
Hg2 0.6566 0.3434 0.5001



Record 11
# CdTcRh SCAN single point on PBEsol structure
# Formation energy: 0.463 eV/atom
data_CdTcRh
_cell_length_a 4.2154
_cell_length_b 4.2154
_cell_length_c 4.2154
_cell_angle_alpha 60.00
_cell_angle_beta 60.00
_cell_angle_gamma 60.00
_symmetry_space_group_name_H-M 'P 1'
_symmetry_Int_Tables_number 1
_symmetry_space_group_name_Hall 'P 1'
loop_
_atom_site_label
_atom_site_fract_x
_atom_site_fract_y
_atom_site_fract_z
Tc1 0.0000 0.0000 0.0000
Cd1 0.5000 0.5000 0.5000
Rh1 0.2500 0.2500 0.2500



Record 12
# HfAsSBr2 SCAN single point on PBEsol structure
# Formation energy from raw total energies: 628 meV/atom
data_HfAsSBr2
_cell_length_a 4.8250
_cell_length_b 5.0465
_cell_length_c 5.0465
_cell_angle_alpha 90.00
_cell_angle_beta 90.00
_cell_angle_gamma 90.00
_symmetry_space_group_name_H-M 'P 1'
_symmetry_Int_Tables_number 1
_symmetry_space_group_name_Hall 'P 1'
loop_
_atom_site_label
_atom_site_fract_x
_atom_site_fract_y
_atom_site_fract_z
Br1 0.0000 0.0000 0.5000
Br2 0.0000 0.5000 0.0000
Hf1 0.5000 0.0000 0.0000
S1 0.0000 0.0000 0.0000
As1 0.5000 0.5000 0.5000



Uncorrected energy across the listed records, respectively: -5.1675, -15.9816, -44.5322, -18.5311, -16.3048, -14.5566, -28.2939, -42.0849, -16.0775, -36.1489, -32.6189, -25.6542 eV/atom.
Size of the total moment across the listed records, respectively: 0.0, 0.0, 0.0, 0.0, 0.0, 13.5, 0.0, 0.0, 0.0, 0.0, 0.0, 0.0 Bohr magnetons per cell.